# 1
This record from Alexandria via LeMat-Bulk describes a relaxed structure of AcPr2Rh2. The functional is PBE-GGA.

Properties
- SG = Cmcm, No. 63
- magnetization (μB/f.u.) = 0.0
- ΔE to the lowest computed polymorph (kJ/mol of formula units) = 9
- E_form (meV per atom) = -558

```
AcPr2Rh2
1.0
2.014 -6.816 0.000
2.014 6.816 0.000
0.000 0.000 10.501
Ac Pr Rh
2 4 4
Direct
0.096 0.904 0.750
0.904 0.096 0.250
0.357 0.643 0.572
0.357 0.643 0.928
0.643 0.357 0.072
0.643 0.357 0.428
0.000 0.000 0.000
0.000 0.000 0.500
0.243 0.757 0.250
0.757 0.243 0.750
```

# 2
This record from Alexandria via LeMat-Bulk describes a relaxed structure of Ac2PrRh. The functional is PBE-GGA.

Properties
- SG = R-3m, No. 166
- magnetization (μB/f.u.) = 0.6
- ΔE to the lowest computed polymorph (kJ/mol of formula units) = 101
- E_form (meV per atom) = -136

```
Ac2PrRh
1.0
2.025 1.169 11.026
-2.025 1.169 11.026
0.000 -2.339 11.026
Ac Pr Rh
2 1 1
Direct
0.113 0.113 0.113
0.887 0.887 0.887
0.000 0.000 0.000
0.500 0.500 0.500
```

# 3
This record from Alexandria via LeMat-Bulk describes a relaxed structure of AcPr2Rh. The functional is PBE-GGA.

Properties
- SG = Pnma, No. 62
- magnetization (μB/f.u.) = 0.0
- ΔE to the lowest computed polymorph (kJ/mol of formula units) = 0
- E_form (meV per atom) = -409

```
AcPr2Rh
1.0
7.519 0.000 0.000
0.000 10.284 0.000
0.000 0.000 6.662
Ac Pr Rh
4 8 4
Direct
0.039 0.250 0.147
0.461 0.750 0.647
0.539 0.250 0.353
0.961 0.750 0.853
0.173 0.069 0.668
0.173 0.431 0.668
0.327 0.569 0.168
0.327 0.931 0.168
0.673 0.069 0.832
0.673 0.431 0.832
0.827 0.569 0.332
0.827 0.931 0.332
0.121 0.750 0.421
0.379 0.250 0.921
0.621 0.750 0.079
0.879 0.250 0.579
```

What did the third record say?
This record from Alexandria via LeMat-Bulk describes a relaxed structure of AcPr2Rh. The functional is PBE-GGA.

Properties
- SG = Pnma, No. 62
- magnetization (μB/f.u.) = 0.0
- ΔE to the lowest computed polymorph (kJ/mol of formula units) = 0
- E_form (meV per atom) = -409

```
AcPr2Rh
1.0
7.519 0.000 0.000
0.000 10.284 0.000
0.000 0.000 6.662
Ac Pr Rh
4 8 4
Direct
0.039 0.250 0.147
0.461 0.750 0.647
0.539 0.250 0.353
0.961 0.750 0.853
0.173 0.069 0.668
0.173 0.431 0.668
0.327 0.569 0.168
0.327 0.931 0.168
0.673 0.069 0.832
0.673 0.431 0.832
0.827 0.569 0.332
0.827 0.931 0.332
0.121 0.750 0.421
0.379 0.250 0.921
0.621 0.750 0.079
0.879 0.250 0.579
```

Q: Which value of E_form does entry 3 give?
A: -409 meV per atom

Copy entry 1 word for word.
This record from Alexandria via LeMat-Bulk describes a relaxed structure of AcPr2Rh2. The functional is PBE-GGA.

Properties
- SG = Cmcm, No. 63
- magnetization (μB/f.u.) = 0.0
- ΔE to the lowest computed polymorph (kJ/mol of formula units) = 9
- E_form (meV per atom) = -558

```
AcPr2Rh2
1.0
2.014 -6.816 0.000
2.014 6.816 0.000
0.000 0.000 10.501
Ac Pr Rh
2 4 4
Direct
0.096 0.904 0.750
0.904 0.096 0.250
0.357 0.643 0.572
0.357 0.643 0.928
0.643 0.357 0.072
0.643 0.357 0.428
0.000 0.000 0.000
0.000 0.000 0.500
0.243 0.757 0.250
0.757 0.243 0.750
```